# 1
32
Lattice="7.3903 0.0000 0.0000 0.0000 6.7081 0.0000 -6.3982 0.0000 10.9478" Properties=species:S:1:pos:R:3 comment="MnAs3Pb3O9, optimized geometry, DFT GGA+U" e_tot_ev_per_cell=-195.08 pbc="T T T"
Mn 0.0000 0.0817 0.0000
Mn -3.1991 6.6263 5.4739
As -1.3359 1.3704 2.8893
As -4.5350 5.3377 8.3632
As 0.8941 3.2016 0.5931
As -2.3050 3.5065 6.0670
As -1.2513 0.7779 8.1518
As 1.9478 5.9302 2.6779
Pb 3.6899 0.8928 0.4176
Pb 0.4908 5.8153 5.8914
Pb 2.5837 2.5010 3.8330
Pb -0.6155 4.2070 9.3068
Pb 2.3312 1.9690 8.2479
Pb 5.5304 4.7391 2.7740
O -1.7806 0.0608 4.0927
O -4.9798 6.6473 9.5665
O -4.0788 3.1230 10.5364
O -0.8797 3.5851 5.0625
O 1.5537 0.5523 1.5286
O -1.6455 6.1557 7.0025
O 0.3268 1.1424 7.4007
O 3.5260 5.5656 1.9268
O 2.4221 0.2355 4.1189
O -0.7770 6.4725 9.5928
O 4.4431 2.1092 2.4478
O 1.2440 4.5989 7.9216
O 6.0781 0.2075 1.4802
O 2.8790 6.5006 6.9541
O 0.8571 2.0552 10.5119
O 4.0562 4.6529 5.0380
O 4.0961 1.9677 5.5448
O 7.2952 4.7403 0.0710

=====

# 2
18
Lattice="5.0283 0.0000 0.0000 -2.5142 4.3547 0.0000 0.0000 0.0000 9.0191" Properties=species:S:1:pos:R:3 comment="MnAsPdO6, optimized geometry, DFT GGA+U" e_tot_ev_per_cell=-111.43 pbc="T T T"
Mn 0.0000 0.0000 0.0000
Mn 0.0000 0.0000 4.5096
As 0.0000 2.9031 2.2548
As 2.5142 1.4516 6.7643
Pd 0.0000 2.9031 6.7643
Pd 2.5142 1.4516 2.2548
O -0.8169 1.5963 1.2004
O -1.5402 2.8490 3.3092
O 0.8169 1.5963 3.3092
O -0.7233 4.2640 1.2004
O 1.7909 0.0907 5.7100
O 0.9740 1.5056 7.8187
O 1.5402 2.8490 1.2004
O 0.7233 4.2640 3.3092
O 3.2375 0.0907 7.8187
O 1.6972 2.7584 5.7100
O 4.0544 1.5056 5.7100
O 3.3311 2.7584 7.8187

=====

# 3
12
Lattice="-3.5809 3.5809 3.1979 3.5809 -3.5809 3.1979 3.5809 3.5809 -3.1979" Properties=species:S:1:pos:R:3 comment="PmMnAs2O8, optimized geometry, DFT GGA+U" e_tot_ev_per_cell=-81.71 pbc="T T T"
Pm 0.0000 0.0000 0.0000
Mn 0.0000 3.5809 1.5989
As 3.5809 0.0000 1.5989
As 0.0000 0.0000 3.1979
O 2.3059 0.0000 0.4537
O 4.8559 0.0000 0.4537
O 3.5809 2.2574 -1.1140
O 3.5809 -1.2750 2.7442
O 0.0000 1.3235 2.0839
O 3.5809 1.2750 2.7442
O 2.2574 3.5809 1.1140
O 1.3235 0.0000 4.3119

=====

# 4
10
Lattice="5.5167 0.0000 0.0000 -2.7290 4.9095 0.0000 -2.7355 -1.5917 4.6473" Properties=species:S:1:pos:R:3 comment="PmMn2AsO6, optimized geometry, DFT GGA+U" e_tot_ev_per_cell=-72.86 pbc="T T T"
Pm 0.0000 0.0000 0.0000
Mn -0.1277 -0.0121 3.2206
Mn -0.1260 3.0489 1.0333
As -3.0161 2.0072 2.8063
O -0.5486 1.3211 1.8666
O -1.5675 4.1022 1.8758
O -1.5696 0.4480 4.4998
O -2.3659 3.0455 4.2472
O 1.2976 3.4505 2.4819
O 1.3041 1.2289 4.0715

=====

# 5
16
Lattice="4.2020 -4.5249 0.0000 4.2020 4.5249 0.0000 -3.8410 0.0000 7.1524" Properties=species:S:1:pos:R:3 comment="PmMnAsO5, optimized geometry, DFT GGA+U" e_tot_ev_per_cell=-116.11 pbc="T T T"
Pm 0.0000 0.0000 0.0000
Pm -1.9205 0.0000 3.5762
Mn 1.3212 1.6234 5.3643
Mn 3.2417 -1.6234 1.7881
As 3.2417 1.2480 1.7881
As 1.3212 -1.2480 5.3643
O 1.3212 3.5484 5.3643
O 2.4981 2.2031 2.9995
O 3.9854 2.2031 0.5767
O 2.1399 0.0807 1.1021
O 0.2193 -0.0807 4.6783
O 4.3436 0.0807 2.4741
O 2.4231 -0.0807 6.0503
O 0.5775 -2.2031 6.5757
O 2.0649 -2.2031 4.1529
O 3.2417 -3.5484 1.7881

=====

# 6
12
Lattice="5.8207 0.0000 0.0000 -2.9103 5.0408 0.0000 0.0000 0.0000 5.9657" Properties=species:S:1:pos:R:3 comment="PmMn2AsO8, optimized geometry, DFT GGA+U" e_tot_ev_per_cell=-79.87 pbc="T T T"
Pm 0.0000 0.0000 0.0000
Mn 0.0000 3.3606 3.5563
Mn 2.9103 1.6803 2.4094
As 0.0000 0.0000 2.9829
O 0.0000 1.5021 4.1253
O -1.6094 4.2898 4.1253
O 1.3009 0.7511 1.8405
O 0.0000 3.3606 1.8797
O 2.9103 1.6803 4.0861
O 1.6094 4.2898 4.1253
O 4.5198 0.7511 1.8405
O 2.9103 3.5387 1.8405